(1)
AlSnSb2: optimized geometry, PBE.

Geometry as POSCAR:
```
AlSnSb2
1.0
-3.609 2.615 -0.003
-0.201 -4.074 1.796
2.189 3.028 7.113
Al Sn Sb
1 1 2
direct
0.000 0.000 0.002
0.667 0.333 0.510
0.667 0.333 0.898
0.000 0.000 0.341
```

Computed properties:
Its relative energy among the computed polymorphs is 1 meV per atom. The total energy comes out at -3.9583 eV per atom. The calculation puts the total magnetization at 0.000 μB per atom. As for the space group: P3m1 (156).

(2)
AlSnSb3: optimized geometry, PBE.

Geometry as POSCAR:
```
AlSnSb3
1.0
-5.313 1.274 -1.492
-0.899 -5.409 -1.419
-1.744 -1.095 5.276
Sb Sn Al
3 1 1
direct
0.000 0.500 0.000
0.000 0.000 0.500
0.500 0.000 0.000
0.000 0.000 0.000
0.500 0.500 0.500
```

Computed properties:
Its relative energy among the computed polymorphs is 440 meV per atom. The total energy comes out at -3.1398 eV per atom. The calculation puts the total magnetization at 0.000 μB per atom. As for the space group: Pm-3m (221).

(3)
AlSnSb: optimized geometry, PBE.

Geometry as POSCAR:
```
AlSnSb
1.0
4.207 0.000 -0.023
0.000 5.619 0.000
-1.754 0.000 6.433
Sb Sn Al
2 2 2
direct
0.401 0.250 0.203
0.599 0.750 0.797
0.139 0.250 0.591
0.861 0.750 0.409
0.782 0.250 0.911
0.218 0.750 0.089
```

Computed properties:
Its relative energy among the computed polymorphs is 67 meV per atom. The total energy comes out at -3.8879 eV per atom. The calculation puts the total magnetization at 0.000 μB per atom. As for the space group: P2_1/m (11).

Q: Which of these has the lowest relative energy among the computed polymorphs?
A: AlSnSb2